1.
A plane-wave DFT calculation with SCAN was carried out for a crystal of ScHgAuS2 relaxed with PBEsol.

Computed properties:
- Fermi-level density of states (states/eV/cell) = 3.01
- electronic total energy (eV/atom) = -34.02

Cell: 4.7358 4.7358 5.2175 Å, 90.00 90.00 90.00°
Space group P4/mmm (No. 123)
One atom of each set of equivalent atoms:
Sc  0.0000  0.0000  0.0000 (multiplicity 1)
Hg  0.5000  0.5000  0.0000 (multiplicity 1)
Au  0.0000  0.0000  0.5000 (multiplicity 1)
S  0.0000  0.5000  0.5000 (multiplicity 2)

2.
A plane-wave DFT calculation with SCAN was carried out for a crystal of KCuNi relaxed with PBEsol.

Computed properties:
- Fermi-level density of states (states/eV/cell) = 3.57
- electronic total energy (eV/atom) = -12.69

Cell: 3.2230 3.2230 11.1812 Å, 90.00 90.00 90.00°
Space group I4mm (No. 107)
One atom of each set of equivalent atoms:
K  0.0000  0.0000  0.0000 (multiplicity 2)
Cu  0.0000  0.0000  0.7261 (multiplicity 2)
Ni  0.0000  0.0000  0.2723 (multiplicity 2)

3.
A plane-wave DFT calculation with SCAN was carried out for a crystal of Mg2CdAs relaxed with PBEsol.

Computed properties:
- Fermi-level density of states (states/eV/cell) = 1.58
- electronic total energy (eV/atom) = -15.35
- ΔE to the lowest computed polymorph (meV/atom) = 44.4

Cell: 3.4559 3.4559 6.6304 Å, 90.00 90.00 90.00°
Space group P4/mmm (No. 123)
One atom of each set of equivalent atoms:
Mg  0.0000  0.0000  0.2326 (multiplicity 2)
Cd  0.5000  0.5000  0.5000 (multiplicity 1)
As  0.5000  0.5000  0.0000 (multiplicity 1)

4.
A plane-wave DFT calculation with SCAN was carried out for a crystal of Ba4Br6O relaxed with PBEsol.

Computed properties:
- Fermi-level density of states (states/eV/cell) = 0.00
- electronic total energy (eV/atom) = -28.05
- ΔE to the lowest computed polymorph (meV/atom) = 106.9

Cell: 10.0303 10.0303 7.5897 Å, 90.00 90.00 90.00°
Space group P4_2/nmc (No. 137, origin choice 2)
One atom of each set of equivalent atoms:
Ba  0.0175  0.7500  0.0886 (multiplicity 8)
Br  0.0465  0.5465  0.7500 (multiplicity 8)
Br  0.2500  0.2500  0.1559 (multiplicity 4)
O  0.2500  0.7500  0.2500 (multiplicity 2)

Question: electronic total energy of number 4 (Ba4Br6O)?
Answer: -28.05 eV/atom

Question: Which value of Fermi-level density of states does entry 2 give?
Answer: 3.57 states/eV/cell